1.
Here is a relaxed structure of AlSi2Ag from Alexandria. Energies are from GGA-PBEsol.

Cell: 2.8729 2.8729 7.4332 Å, 90.00 90.00 90.00°
Atoms (fractional coordinates):
Al 0.0000 0.0000 0.0000
Si 0.0000 0.0000 0.4748
Si 0.5000 0.5000 0.2474
Ag 0.5000 0.5000 0.7407

Summary:
Space-group type: P4mm, No. 99
E: -18.08 eV per cell



2.
Here is a relaxed structure of AlSiAg2 from Alexandria. Energies are from GGA-PBEsol.

Cell: 4.6250 4.6250 4.9816 Å, 99.94 99.94 37.50°
Atoms (fractional coordinates):
Al 0.0000 0.0000 0.0000
Si 0.5000 0.5000 0.5000
Ag 0.2507 0.2507 0.7509
Ag 0.7493 0.7493 0.2491

Summary:
Space-group type: C2/m, No. 12
E: -16.19 eV per cell



3.
Here is a relaxed structure of AlSiAg2 from Alexandria. Energies are from GGA-PBEsol.

Cell: 4.5324 4.5324 4.5324 Å, 60.00 60.00 60.00°
Atoms (fractional coordinates):
Al 0.0000 0.0000 0.0000
Si 0.7500 0.7500 0.7500
Ag 0.2500 0.2500 0.2500
Ag 0.5000 0.5000 0.5000

Summary:
Space-group type: F-43m, No. 216
E: -15.52 eV per cell



4.
Here is a relaxed structure of AlSi2Ag from Alexandria. Energies are from GGA-PBEsol.

Cell: 4.7792 4.7792 4.7792 Å, 129.51 129.51 74.19°
Atoms (fractional coordinates):
Al 0.0000 0.0000 0.0000
Si 0.2500 0.7500 0.5000
Si 0.7500 0.2500 0.5000
Ag 0.5000 0.5000 0.0000

Summary:
Space-group type: I4/mmm, No. 139
E: -17.76 eV per cell



5.
Here is a relaxed structure of ZrAlSiAg2 from Alexandria. Energies are from GGA-PBEsol.

Cell: 5.0350 5.0350 5.2013 Å, 90.00 90.00 90.00°
Atoms (fractional coordinates):
Zr 0.0000 0.0000 0.0000
Al 0.0000 0.0000 0.5000
Si 0.5000 0.5000 0.5000
Ag 0.0000 0.5000 0.0000
Ag 0.5000 0.0000 0.0000

Summary:
Space-group type: P4/mmm, No. 123
E: -18.03 eV per cell



6.
Here is a relaxed structure of Al2Ag2Sn from Alexandria. Energies are from GGA-PBEsol.

Cell: 6.8303 6.8303 6.8303 Å, 146.59 146.59 47.97°
Atoms (fractional coordinates):
Al 0.1032 0.1032 0.0000
Al 0.8968 0.8968 0.0000
Ag 0.2500 0.7500 0.5000
Ag 0.7500 0.2500 0.5000
Sn 0.5000 0.5000 0.0000

Summary:
Space-group type: I4/mmm, No. 139
ΔH_f (0 K): 0.08 eV per atom
E: -18.66 eV per cell



7.
Here is a relaxed structure of Al3AgSn from Alexandria. Energies are from GGA-PBEsol.

Cell: 4.8388 4.8388 4.8388 Å, 90.00 90.00 90.00°
Atoms (fractional coordinates):
Al 0.0000 0.0000 0.5000
Al 0.0000 0.5000 0.0000
Al 0.5000 0.0000 0.0000
Ag 0.0000 0.0000 0.0000
Sn 0.5000 0.5000 0.5000

Summary:
Space-group type: Pm-3m, No. 221
ΔH_f (0 K): 0.45 eV per atom
E: -17.59 eV per cell



8.
Here is a relaxed structure of SrAl2Ag2 from Alexandria. Energies are from GGA-PBEsol.

Cell: 6.5557 6.5557 6.5557 Å, 141.69 141.69 55.30°
Atoms (fractional coordinates):
Sr 0.0000 0.0000 0.0000
Al 0.2500 0.7500 0.5000
Al 0.7500 0.2500 0.5000
Ag 0.3792 0.3792 0.0000
Ag 0.6208 0.6208 0.0000

Summary:
Space-group type: I4/mmm, No. 139
ΔH_f (0 K): -0.26 eV per atom
E: -17.93 eV per cell



9.
Here is a relaxed structure of SrAlAg from Alexandria. Energies are from GGA-PBEsol.

Cell: 4.6213 4.6213 4.1403 Å, 90.00 90.00 120.00°
Atoms (fractional coordinates):
Sr 0.0000 0.0000 0.0000
Al 0.6667 0.3333 0.5000
Ag 0.3333 0.6667 0.5000

Summary:
Space-group type: P-6m2, No. 187
ΔH_f (0 K): -0.22 eV per atom
E: -9.91 eV per cell



10.
Here is a relaxed structure of Sr2AlAg from Alexandria. Energies are from GGA-PBEsol.

Cell: 3.8615 3.8615 7.7329 Å, 90.00 90.00 90.00°
Atoms (fractional coordinates):
Sr 0.0000 0.0000 0.2470
Sr 0.0000 0.0000 0.7530
Al 0.5000 0.5000 0.5000
Ag 0.5000 0.5000 0.0000

Summary:
Space-group type: P4/mmm, No. 123
ΔH_f (0 K): -0.14 eV per atom
E: -11.66 eV per cell



11.
Here is a relaxed structure of Sr2AlAg from Alexandria. Energies are from GGA-PBEsol.

Cell: 3.6300 3.6300 9.0697 Å, 90.00 90.00 90.00°
Atoms (fractional coordinates):
Sr 0.0000 0.0000 0.0000
Sr 0.5000 0.5000 0.3875
Al 0.5000 0.5000 0.7529
Ag 0.0000 0.0000 0.6327

Summary:
Space-group type: P4mm, No. 99
ΔH_f (0 K): -0.06 eV per atom
E: -11.34 eV per cell



12.
Here is a relaxed structure of Sr2Al5Ag5 from Alexandria. Energies are from GGA-PBEsol.

Cell: 4.4127 5.5200 9.7696 Å, 90.00 90.00 90.00°
Atoms (fractional coordinates):
Sr 0.0000 0.0000 0.0000
Sr 0.0000 0.5000 0.5000
Al 0.5000 0.0000 0.5000
Al 0.5000 0.2485 0.2466
Al 0.5000 0.2485 0.7534
Al 0.5000 0.7515 0.2466
Al 0.5000 0.7515 0.7534
Ag 0.0000 0.0000 0.3333
Ag 0.0000 0.0000 0.6667
Ag 0.0000 0.5000 0.1795
Ag 0.0000 0.5000 0.8205
Ag 0.5000 0.5000 0.0000

Summary:
Space-group type: Pmmm, No. 47
ΔH_f (0 K): -0.29 eV per atom
E: -44.19 eV per cell



13.
Here is a relaxed structure of TaAlAg2 from Alexandria. Energies are from GGA-PBEsol.

Cell: 5.5546 5.5546 5.5546 Å, 150.25 128.06 61.01°
Atoms (fractional coordinates):
Ta 0.0000 0.0000 0.0000
Al 0.7532 0.2532 0.5000
Ag 0.2664 0.7664 0.5000
Ag 0.5219 0.5219 0.0000

Summary:
Energy above the lowest structure with this stoichiometry: 0.031 eV per atom
Space-group type: Imm2, No. 44
ΔH_f (0 K): 0.19 eV per atom
E: -22.50 eV per cell



14.
Here is a relaxed structure of TaAlAg2 from Alexandria. Energies are from GGA-PBEsol.

Cell: 5.6103 5.6103 5.6103 Å, 150.81 129.24 59.64°
Atoms (fractional coordinates):
Ta 0.0000 0.0000 0.0000
Al 0.5000 0.5000 0.0000
Ag 0.2645 0.7645 0.5000
Ag 0.7355 0.2355 0.5000

Summary:
Energy above the lowest structure with this stoichiometry: 0.000 eV per atom
Space-group type: Immm, No. 71
ΔH_f (0 K): 0.16 eV per atom
E: -22.63 eV per cell



15.
Here is a relaxed structure of TbAlAg2 from Alexandria. Energies are from GGA-PBEsol.

Cell: 4.7642 4.7642 4.7642 Å, 60.00 60.00 60.00°
Atoms (fractional coordinates):
Tb 0.0000 0.0000 0.0000
Al 0.5000 0.5000 0.5000
Ag 0.2500 0.2500 0.2500
Ag 0.7500 0.7500 0.7500

Summary:
Space-group type: Fm-3m, No. 225
ΔH_f (0 K): -0.36 eV per atom
E: -17.16 eV per cell



16.
Here is a relaxed structure of AlTcAg from Alexandria. Energies are from GGA-PBEsol.

Cell: 4.2447 4.2447 4.2447 Å, 60.00 60.00 60.00°
Atoms (fractional coordinates):
Al 0.0000 0.0000 0.0000
Tc 0.5000 0.5000 0.5000
Ag 0.2500 0.2500 0.2500

Summary:
Energy above the lowest structure with this stoichiometry: 0.654 eV per atom
Space-group type: F-43m, No. 216
ΔH_f (0 K): 0.83 eV per atom
E: -16.19 eV per cell



17.
Here is a relaxed structure of AlTcAg3 from Alexandria. Energies are from GGA-PBEsol.

Cell: 4.6266 4.6266 4.6266 Å, 90.00 90.00 90.00°
Atoms (fractional coordinates):
Al 0.0000 0.0000 0.0000
Tc 0.5000 0.5000 0.5000
Ag 0.0000 0.0000 0.5000
Ag 0.0000 0.5000 0.0000
Ag 0.5000 0.0000 0.0000

Summary:
Space-group type: Pm-3m, No. 221
ΔH_f (0 K): 1.23 eV per atom
E: -19.15 eV per cell



18.
Here is a relaxed structure of AlTcAg2 from Alexandria. Energies are from GGA-PBEsol.

Cell: 9.3539 9.3539 9.3539 Å, 17.02 17.02 17.02°
Atoms (fractional coordinates):
Al 0.0000 0.0000 0.0000
Tc 0.5000 0.5000 0.5000
Ag 0.2521 0.2521 0.2521
Ag 0.7479 0.7479 0.7479

Summary:
Space-group type: R-3m, No. 166
ΔH_f (0 K): 0.24 eV per atom
E: -21.03 eV per cell



19.
Here is a relaxed structure of AlTcAg2 from Alexandria. Energies are from GGA-PBEsol.

Cell: 5.5035 5.5035 5.5035 Å, 150.81 130.67 58.35°
Atoms (fractional coordinates):
Al 0.0000 0.0000 0.0000
Tc 0.5000 0.5000 0.0000
Ag 0.2370 0.7370 0.5000
Ag 0.7630 0.2630 0.5000

Summary:
Space-group type: Immm, No. 71
ΔH_f (0 K): 0.16 eV per atom
E: -21.34 eV per cell



20.
Here is a relaxed structure of Al2TcAg from Alexandria. Energies are from GGA-PBEsol.

Cell: 3.1363 3.1363 5.9882 Å, 90.00 90.00 90.00°
Atoms (fractional coordinates):
Al 0.0000 0.0000 0.2200
Al 0.0000 0.0000 0.7800
Tc 0.5000 0.5000 0.0000
Ag 0.5000 0.5000 0.5000

Summary:
Space-group type: P4/mmm, No. 123
ΔH_f (0 K): -0.26 eV per atom
E: -23.81 eV per cell